Record 1
Compound: PuTh2Sb
Source: Alexandria via LeMat-Bulk
Functional: GGA-PBE
Structure: optimized geometry

a b c (Å): 3.8446 3.8446 8.3084
angles (deg): 76.62 76.62 60.00
Closest atoms and distances in Å follow each position.
Fractional positions:
Th  0.2365  0.2365  0.2906  3 Pu 2.78
Pu  0.5000  0.5000  0.5000  6 Th 2.78
Sb  0.0000  0.0000  0.0000  6 Th 3.22
Th  0.7635  0.7635  0.7094  3 Pu 2.78

Summary:
energy relative to the elements, uncorrected = 0.333 eV per atom
electronic total energy = -7.9907 eV/atom
energy above the lowest structure with this stoichiometry = 731.1 meV/atom
total moment = 0.00 Bohr magnetons per cell
SG = No. 166

Record 2
Compound: In3SnPb2
Source: Alexandria via LeMat-Bulk
Functional: GGA-PBE
Structure: optimized geometry

a b c (Å): 5.9165 6.3624 9.3484
angles (deg): 90.00 90.00 90.00
Closest atoms and distances in Å follow each position.
Fractional positions:
Pb  0.7500  0.0000  0.6448  2 Sn 3.26, 6 In 3.45-3.63
In  0.5000  0.0000  0.0000  2 In 2.96
Pb  0.7500  0.5000  0.9095  1 Sn 3.18, 2 Pb 3.41
In  0.7500  0.2516  0.2710  4 In 3.16-3.34, 1 Sn 3.21, 2 Pb 3.45
Sn  0.2500  0.5000  0.4304  3 Pb 3.18-3.26, 2 In 3.21, 2 Sn 3.23
In  0.7500  0.7484  0.2710  4 In 3.16-3.34, 1 Sn 3.21, 2 Pb 3.45
In  0.2500  0.2516  0.7290  4 In 3.16-3.34, 1 Sn 3.21, 2 Pb 3.45
In  0.0000  0.0000  0.0000  2 In 2.96
Sn  0.7500  0.5000  0.5696  3 Pb 3.18-3.26, 2 In 3.21, 2 Sn 3.23
Pb  0.2500  0.0000  0.3552  2 Sn 3.26, 6 In 3.45-3.63
In  0.2500  0.7484  0.7290  4 In 3.16-3.34, 1 Sn 3.21, 2 Pb 3.45
Pb  0.2500  0.5000  0.0905  1 Sn 3.18, 2 Pb 3.41

Summary:
electronic total energy = -3.2071 eV/atom
energy above the lowest structure with this stoichiometry = 0.0 meV/atom
ΔH_f (0 K) = 0.07 eV/atom
total moment = 0.00 Bohr magnetons per cell
SG = No. 51

Record 3
Compound: YNbPO2
Source: Alexandria via LeMat-Bulk
Functional: GGA-PBE
Structure: optimized geometry

a b c (Å): 4.0027 4.0027 5.1339
angles (deg): 90.00 90.00 90.00
Closest atoms and distances in Å follow each position.
Fractional positions:
O  0.0000  0.5000  0.0000  2 Nb 2.00
O  0.5000  0.0000  0.0000  2 Nb 2.00
Nb  0.0000  0.0000  0.0000  4 O 2.00
P  0.0000  0.0000  0.5000  2 Nb 2.57, 4 Y 2.83
Y  0.5000  0.5000  0.5000  4 P 2.83

Summary:
energy relative to the elements, uncorrected = -1.886 eV per atom
electronic total energy = -8.2580 eV/atom
energy above the lowest structure with this stoichiometry = 0.0 meV/atom
total moment = 0.00 Bohr magnetons per cell
SG = No. 123

Record 4
Compound: TaCu4Au5
Source: Alexandria via LeMat-Bulk
Functional: GGA-PBE
Structure: optimized geometry

a b c (Å): 3.0080 3.0080 17.2334
angles (deg): 90.00 90.00 90.00
Closest atoms and distances in Å follow each position.
Fractional positions:
Cu  0.0000  0.0000  0.5958  8 Au 2.69-2.70, 4 Cu 3.01
Au  0.5000  0.5000  0.6921  8 Cu 2.70, 4 Au 3.01
Au  0.5000  0.5000  0.5000  8 Cu 2.69, 4 Au 3.01
Au  0.5000  0.5000  0.3079  8 Cu 2.70, 4 Au 3.01
Au  0.5000  0.5000  0.8876  4 Cu 2.73, 4 Ta 2.88, 4 Au 3.01
Cu  0.0000  0.0000  0.4042  8 Au 2.69-2.70, 4 Cu 3.01
Au  0.5000  0.5000  0.1124  4 Cu 2.73, 4 Ta 2.88, 4 Au 3.01
Ta  0.0000  0.0000  0.0000  8 Au 2.88, 4 Ta 3.01
Cu  0.0000  0.0000  0.2117  8 Au 2.70-2.73, 4 Cu 3.01
Cu  0.0000  0.0000  0.7883  8 Au 2.70-2.73, 4 Cu 3.01

Summary:
electronic total energy = -4.5114 eV/atom
ΔH_f (0 K) = -0.05 eV/atom
total moment = 0.00 Bohr magnetons per cell
SG = No. 123